VASP calculation (PBE) on a relaxed structure of Cd2AgPd2.

Cell lengths 7.775, 7.775, 3.074 Å; angles 90.00, 90.00, 90.00 degrees
Space group P4/mbm (No. 127)
Unique sites:
Cd 0.166 0.334 0.000
Ag 0.000 0.000 0.500
Pd 0.131 0.631 0.500

energy of formation	-0.213	eV/atom
raw total energy	-3.227	eV/atom
offset from the most stable computed form	0.18	eV/f.u.